# Be3NiPd | Alexandria via LeMat-Bulk | PBE | relaxed
data_Be3NiPd
_symmetry_space_group_name_H-M 'P m -3 m'
_symmetry_Int_Tables_number 221
_symmetry_space_group_name_Hall '-P 4 2 3'
_cell_length_a 4.114
_cell_length_b 4.114
_cell_length_c 4.114
_cell_angle_alpha 90.00
_cell_angle_beta 90.00
_cell_angle_gamma 90.00
loop_
_atom_site_label
_atom_site_fract_x
_atom_site_fract_y
_atom_site_fract_z
Be1 0.000 0.000 0.500
Ni1 0.500 0.500 0.500
Pd1 0.000 0.000 0.000
# Uncorrected energy in eV/atom: -3.8021
# Polymorph energy (0 for the lowest one) in kJ per mole of atoms: 38.1
# Energy relative to the elements in eV per atom: 0.6284